[1]
Density functional theory data (PBE) for ErAg2Ge after structural relaxation.

For the energy of formation, the calculation gives -0.283 eV per atom. The calculation puts the density at 9.3 g/cm³. Its excess energy over the best structure of this formula in the dataset is 0 meV per atom.

The structure in POSCAR format:
```
ErAg2Ge
1.0
-3.5254 -0.7189 3.0598
2.4521 -2.4954 2.2388
1.2759 3.2596 2.2359
Ge Ag Er
1 2 1
Direct
0.5000 0.5000 0.5000
0.0000 0.5000 0.0000
0.0000 0.0000 0.5000
0.5000 0.0000 0.0000
```


[2]
Density functional theory data (PBE) for ErAg2Ge after structural relaxation.

For the energy of formation, the calculation gives 0.279 eV per atom. The calculation puts the density at 8.7 g/cm³. Its excess energy over the best structure of this formula in the dataset is 563 meV per atom.

The structure in POSCAR format:
```
ErAg2Ge
1.0
3.0863 0.0000 0.0000
1.5432 2.6728 0.0000
1.5432 0.8909 10.4922
Er Ag Ge
1 2 1
Direct
0.0000 0.0000 0.0000
0.9075 0.9075 0.2774
0.0925 0.0925 0.7226
0.5000 0.5000 0.5000
```


[3]
Density functional theory data (PBE) for Er2AgGe after structural relaxation.

For the energy of formation, the calculation gives -0.517 eV per atom. The calculation puts the density at 9.4 g/cm³.

The structure in POSCAR format:
```
Er2AgGe
1.0
-1.3790 -2.0693 2.7366
2.2396 -3.9940 -1.8915
4.0145 0.9521 2.7428
Ge Er Ag
1 2 1
Direct
0.5000 0.0000 0.0000
0.0000 0.5000 0.0000
0.0000 0.0000 0.5000
0.5000 0.5000 0.5000
```